! BeCuRe2As (PBE, relaxed); values from VASP
! Uncorrected energy (eV for the cell shown): -31.50
! Crystal system: tetragonal
! Space group: P4/mmm, No. 123
&SYSTEM
  ibrav = 0, nat = 5, ntyp = 4
/
ATOMIC_SPECIES
Be 9.01 Be.upf
Cu 63.55 Cu.upf
Re 186.21 Re.upf
As 74.92 As.upf
CELL_PARAMETERS angstrom
4.2369 0.0000 0.0000
0.0000 4.2369 0.0000
0.0000 0.0000 3.9794
ATOMIC_POSITIONS angstrom
Be 0.0000 0.0000 0.0000
Cu 2.1184 2.1184 1.9897
Re 0.0000 2.1184 0.0000
Re 2.1184 0.0000 0.0000
As 0.0000 0.0000 1.9897